Entry i
First-principles (PBE-GGA) data for Ga3PtCl after structural relaxation, as listed in the Alexandria database.

abc: 5.028 5.028 5.028
angles: 90.00 90.00 90.00
Fractional coordinates of all 5 atoms:
1 Cl 0.000 0.000 0.000
2 Ga 0.000 0.000 0.500
3 Ga 0.500 0.000 0.000
4 Ga 0.000 0.500 0.000
5 Pt 0.500 0.500 0.500

## Properties
space-group type	No. 221
crystal system	cubic

Entry ii
First-principles (PBE-GGA) data for Ga3PtCl after structural relaxation, as listed in the Alexandria database.

abc: 4.866 4.866 4.866
angles: 90.00 90.00 90.00
Fractional coordinates of all 5 atoms:
1 Cl 0.500 0.500 0.500
2 Ga 0.000 0.000 0.500
3 Ga 0.500 0.000 0.000
4 Ga 0.000 0.500 0.000
5 Pt 0.000 0.000 0.000

## Properties
space-group type	No. 221
crystal system	cubic

The most stable of them is entry ii.

Entry i
First-principles (PBE-GGA) data for PuGa2Cl8 after structural relaxation, as listed in the Alexandria database.

abc: 6.644 7.915 7.915
angles: 67.58 81.53 81.53
Fractional coordinates of all 11 atoms:
1 Cl 0.315 0.823 0.823
2 Cl 0.788 0.638 0.638
3 Cl 0.685 0.177 0.177
4 Cl 0.766 0.085 0.694
5 Cl 0.234 0.915 0.306
6 Cl 0.766 0.694 0.085
7 Cl 0.234 0.306 0.915
8 Cl 0.212 0.362 0.362
9 Ga 0.338 0.200 0.200
10 Ga 0.662 0.800 0.800
11 Pu 0.000 0.000 0.000

## Properties
space-group type	No. 12
crystal system	monoclinic

Entry ii
First-principles (PBE-GGA) data for PuGa2Cl8 after structural relaxation, as listed in the Alexandria database.

abc: 10.009 10.336 10.578
angles: 56.31 61.76 61.04
Fractional coordinates of all 22 atoms:
1 Ga 0.156 0.138 0.064
2 Ga 0.844 0.862 0.936
3 Ga 0.358 0.362 0.436
4 Ga 0.642 0.638 0.564
5 Cl 0.921 0.040 0.687
6 Cl 0.133 0.512 0.562
7 Cl 0.571 0.281 0.494
8 Cl 0.059 0.665 0.012
9 Cl 0.867 0.488 0.438
10 Cl 0.647 0.460 0.813
11 Cl 0.353 0.540 0.187
12 Cl 0.736 0.835 0.488
13 Cl 0.941 0.335 0.988
14 Cl 0.346 0.219 0.006
15 Cl 0.079 0.960 0.313
16 Cl 0.793 0.012 0.062
17 Cl 0.207 0.988 0.938
18 Cl 0.654 0.781 0.994
19 Cl 0.264 0.165 0.512
20 Cl 0.429 0.719 0.506
21 Pu 0.970 0.250 0.750
22 Pu 0.030 0.750 0.250

## Properties
space-group type	No. 15
crystal system	monoclinic

The most stable of them is entry ii.

Entry i
First-principles (PBE-GGA) data for RbGa2Cl after structural relaxation, as listed in the Alexandria database.

abc: 4.634 4.634 12.350
angles: 79.19 79.19 90.00
Fractional coordinates of all 8 atoms:
1 Rb 0.750 0.250 0.500
2 Rb 0.000 0.000 0.000
3 Cl 0.250 0.750 0.500
4 Cl 0.500 0.500 0.000
5 Ga 0.256 0.625 0.250
6 Ga 0.375 0.506 0.750
7 Ga 0.875 0.744 0.750
8 Ga 0.494 0.125 0.250

## Properties
space-group type	No. 122
crystal system	tetragonal

Entry ii
First-principles (PBE-GGA) data for RbGa2Cl after structural relaxation, as listed in the Alexandria database.

abc: 5.609 5.609 5.609
angles: 60.00 60.00 60.00
Fractional coordinates of all 4 atoms:
1 Ga 0.250 0.250 0.250
2 Ga 0.750 0.750 0.750
3 Rb 0.500 0.500 0.500
4 Cl 0.000 0.000 0.000

## Properties
space-group type	No. 225
crystal system	cubic

The most stable of them is entry i.

Entry i
First-principles (PBE-GGA) data for RbGa3Cl after structural relaxation, as listed in the Alexandria database.

abc: 6.368 6.368 6.368
angles: 90.00 90.00 90.00
Fractional coordinates of all 5 atoms:
1 Cl 0.500 0.500 0.500
2 Rb 0.000 0.000 0.000
3 Ga 0.000 0.000 0.500
4 Ga 0.500 0.000 0.000
5 Ga 0.000 0.500 0.000

## Properties
space-group type	No. 221
crystal system	cubic

Entry ii
First-principles (PBE-GGA) data for RbGa3Cl after structural relaxation, as listed in the Alexandria database.

abc: 5.581 5.581 5.581
angles: 90.00 90.00 90.00
Fractional coordinates of all 5 atoms:
1 Ga 0.000 0.500 0.000
2 Ga 0.000 0.000 0.500
3 Ga 0.500 0.000 0.000
4 Cl 0.000 0.000 0.000
5 Rb 0.500 0.500 0.500

## Properties
space-group type	No. 221
crystal system	cubic

The most stable of them is entry ii.

Entry i
First-principles (PBE-GGA) data for Rb2GaCl2 after structural relaxation, as listed in the Alexandria database.

abc: 5.837 5.837 8.356
angles: 69.56 69.56 90.00
Fractional coordinates of all 5 atoms:
1 Ga 0.000 0.000 0.000
2 Cl 0.656 0.656 0.688
3 Cl 0.344 0.344 0.312
4 Rb 0.250 0.750 0.500
5 Rb 0.750 0.250 0.500

## Properties
space-group type	No. 139
crystal system	tetragonal

Entry ii
First-principles (PBE-GGA) data for Rb2GaCl2 after structural relaxation, as listed in the Alexandria database.

abc: 8.745 8.745 4.355
angles: 90.00 90.00 90.00
Fractional coordinates of all 10 atoms:
1 Rb 0.348 0.152 0.500
2 Rb 0.152 0.652 0.500
3 Rb 0.652 0.848 0.500
4 Rb 0.848 0.348 0.500
5 Ga 0.000 0.000 0.000
6 Ga 0.500 0.500 0.000
7 Cl 0.346 0.846 0.000
8 Cl 0.846 0.654 0.000
9 Cl 0.154 0.346 0.000
10 Cl 0.654 0.154 0.000

## Properties
space-group type	No. 127
crystal system	tetragonal

The most stable of them is entry ii.

Entry i
First-principles (PBE-GGA) data for GaRe2Cl after structural relaxation, as listed in the Alexandria database.

abc: 5.842 5.842 6.142
angles: 61.61 61.61 90.00
Fractional coordinates of all 8 atoms:
1 Ga 0.000 0.000 0.000
2 Ga 0.750 0.250 0.500
3 Re 0.588 0.125 0.250
4 Re 0.875 0.838 0.750
5 Re 0.375 0.412 0.750
6 Re 0.162 0.625 0.250
7 Cl 0.250 0.750 0.500
8 Cl 0.500 0.500 0.000

## Properties
space-group type	No. 122
crystal system	tetragonal

Entry ii
First-principles (PBE-GGA) data for GaRe2Cl after structural relaxation, as listed in the Alexandria database.

abc: 4.365 4.365 4.365
angles: 60.00 60.00 60.00
Fractional coordinates of all 4 atoms:
1 Re 0.250 0.250 0.250
2 Re 0.750 0.750 0.750
3 Cl 0.000 0.000 0.000
4 Ga 0.500 0.500 0.500

## Properties
space-group type	No. 225
crystal system	cubic

The most stable of them is entry ii.

Entry i
First-principles (PBE-GGA) data for Ga3ReCl after structural relaxation, as listed in the Alexandria database.

abc: 4.929 4.929 4.929
angles: 90.00 90.00 90.00
Fractional coordinates of all 5 atoms:
1 Ga 0.000 0.000 0.500
2 Ga 0.500 0.000 0.000
3 Ga 0.000 0.500 0.000
4 Re 0.000 0.000 0.000
5 Cl 0.500 0.500 0.500

## Properties
space-group type	No. 221
crystal system	cubic

Entry ii
First-principles (PBE-GGA) data for Ga3ReCl after structural relaxation, as listed in the Alexandria database.

abc: 4.835 4.835 4.835
angles: 90.00 90.00 90.00
Fractional coordinates of all 5 atoms:
1 Re 0.500 0.500 0.500
2 Ga 0.000 0.500 0.000
3 Ga 0.500 0.000 0.000
4 Ga 0.000 0.000 0.500
5 Cl 0.000 0.000 0.000

## Properties
space-group type	No. 221
crystal system	cubic

The most stable of them is entry i.

Entry i
First-principles (PBE-GGA) data for Ga2ReCl2 after structural relaxation, as listed in the Alexandria database.

abc: 3.416 3.416 9.507
angles: 79.65 79.65 90.00
Fractional coordinates of all 5 atoms:
1 Cl 0.250 0.750 0.500
2 Cl 0.750 0.250 0.500
3 Ga 0.431 0.431 0.138
4 Ga 0.569 0.569 0.862
5 Re 0.000 0.000 0.000

## Properties
space-group type	No. 139
crystal system	tetragonal

Entry ii
First-principles (PBE-GGA) data for Ga2ReCl2 after structural relaxation, as listed in the Alexandria database.

abc: 7.272 7.272 4.800
angles: 90.00 90.00 90.00
Fractional coordinates of all 10 atoms:
1 Cl 0.168 0.668 0.500
2 Cl 0.668 0.832 0.500
3 Cl 0.332 0.168 0.500
4 Cl 0.832 0.332 0.500
5 Re 0.500 0.500 0.000
6 Re 0.000 0.000 0.000
7 Ga 0.760 0.740 0.000
8 Ga 0.740 0.240 0.000
9 Ga 0.260 0.760 0.000
10 Ga 0.240 0.260 0.000

## Properties
space-group type	No. 127
crystal system	tetragonal

The most stable of them is entry ii.

Entry i
First-principles (PBE-GGA) data for GaRhCl3 after structural relaxation, as listed in the Alexandria database.

abc: 4.912 4.912 4.912
angles: 90.00 90.00 90.00
Fractional coordinates of all 5 atoms:
1 Rh 0.500 0.500 0.500
2 Cl 0.000 0.000 0.500
3 Cl 0.000 0.500 0.000
4 Cl 0.500 0.000 0.000
5 Ga 0.000 0.000 0.000

## Properties
space-group type	No. 221
crystal system	cubic

Entry ii
First-principles (PBE-GGA) data for GaRhCl3 after structural relaxation, as listed in the Alexandria database.

abc: 4.854 4.854 4.854
angles: 90.00 90.00 90.00
Fractional coordinates of all 5 atoms:
1 Cl 0.500 0.000 0.000
2 Cl 0.000 0.500 0.000
3 Cl 0.000 0.000 0.500
4 Ga 0.500 0.500 0.500
5 Rh 0.000 0.000 0.000

## Properties
space-group type	No. 221
crystal system	cubic

The most stable of them is entry ii.

Entry i
First-principles (PBE-GGA) data for Ga3RhCl after structural relaxation, as listed in the Alexandria database.

abc: 4.883 4.883 4.883
angles: 90.00 90.00 90.00
Fractional coordinates of all 5 atoms:
1 Ga 0.000 0.500 0.000
2 Ga 0.000 0.000 0.500
3 Ga 0.500 0.000 0.000
4 Cl 0.000 0.000 0.000
5 Rh 0.500 0.500 0.500

## Properties
space-group type	No. 221
crystal system	cubic

Entry ii
First-principles (PBE-GGA) data for Ga3RhCl after structural relaxation, as listed in the Alexandria database.

abc: 4.830 4.830 4.830
angles: 90.00 90.00 90.00
Fractional coordinates of all 5 atoms:
1 Ga 0.000 0.000 0.500
2 Ga 0.500 0.000 0.000
3 Ga 0.000 0.500 0.000
4 Rh 0.000 0.000 0.000
5 Cl 0.500 0.500 0.500

## Properties
space-group type	No. 221
crystal system	cubic

The most stable of them is entry ii.

Entry i
First-principles (PBE-GGA) data for GaRuCl2 after structural relaxation, as listed in the Alexandria database.

abc: 5.876 5.876 7.489
angles: 66.90 66.90 90.00
Fractional coordinates of all 8 atoms:
1 Cl 0.716 0.125 0.250
2 Cl 0.034 0.625 0.250
3 Cl 0.875 0.966 0.750
4 Cl 0.375 0.284 0.750
5 Ga 0.500 0.500 0.000
6 Ga 0.250 0.750 0.500
7 Ru 0.000 0.000 0.000
8 Ru 0.750 0.250 0.500

## Properties
space-group type	No. 122
crystal system	tetragonal

Entry ii
First-principles (PBE-GGA) data for GaRuCl2 after structural relaxation, as listed in the Alexandria database.

abc: 9.081 9.081 9.081
angles: 22.42 22.42 22.42
Fractional coordinates of all 4 atoms:
1 Ga 0.000 0.000 0.000
2 Cl 0.882 0.882 0.882
3 Cl 0.118 0.118 0.118
4 Ru 0.500 0.500 0.500

## Properties
space-group type	No. 166
crystal system	trigonal

Entry iii
First-principles (PBE-GGA) data for GaRuCl2 after structural relaxation, as listed in the Alexandria database.

abc: 4.781 4.781 4.781
angles: 60.00 60.00 60.00
Fractional coordinates of all 4 atoms:
1 Cl 0.750 0.750 0.750
2 Cl 0.250 0.250 0.250
3 Ru 0.500 0.500 0.500
4 Ga 0.000 0.000 0.000

## Properties
space-group type	No. 225
crystal system	cubic

The most stable of them is entry ii.

Entry i
First-principles (PBE-GGA) data for GaRuSCl2 after structural relaxation, as listed in the Alexandria database.

abc: 4.987 4.987 4.339
angles: 90.00 90.00 90.00
Fractional coordinates of all 5 atoms:
1 Ga 0.500 0.500 0.500
2 Cl 0.500 0.000 0.000
3 Cl 0.000 0.500 0.000
4 S 0.000 0.000 0.500
5 Ru 0.000 0.000 0.000

## Properties
space-group type	No. 123
crystal system	tetragonal

Entry ii
First-principles (PBE-GGA) data for GaRuSCl2 after structural relaxation, as listed in the Alexandria database.

abc: 4.798 4.798 4.770
angles: 90.00 90.00 90.00
Fractional coordinates of all 5 atoms:
1 S 0.000 0.000 0.500
2 Cl 0.000 0.500 0.000
3 Cl 0.500 0.000 0.000
4 Ru 0.500 0.500 0.500
5 Ga 0.000 0.000 0.000

## Properties
space-group type	No. 123
crystal system	tetragonal

The most stable of them is entry i.